Below is crystalline Ba2La2Cu at its relaxed geometry, with properties calculated at the PBE-GGA level.

Cell lengths 7.789, 7.789, 6.532 Å; angles 90.00, 90.00, 90.00 degrees
Fractional positions:
Ba1 0.179 0.679 0.500
Ba2 0.679 0.821 0.500
Ba3 0.821 0.321 0.500
Ba4 0.321 0.179 0.500
Cu1 0.000 0.000 0.000
Cu2 0.500 0.500 0.000
La1 0.351 0.851 0.000
La2 0.851 0.649 0.000
La3 0.649 0.149 0.000
La4 0.149 0.351 0.000

Results
Final energy: -3.35 eV per atom
Energy relative to the elements: 0.21 eV/atom
ρ: 5.2 Mg/m³